DFT (PBE-GGA) results for Ce2HPt after structural relaxation.

Properties
ΔE to the lowest computed polymorph ... 0.0 kJ/mol of atoms
Symmetry ... No. 62

Cell lengths 6.815, 4.745, 9.805 Å; angles 90.00, 90.00, 90.00 degrees
Positions (direct):
Ce1 0.053 0.250 0.155
Ce2 0.121 0.250 0.582
Ce3 0.379 0.750 0.082
Ce4 0.447 0.750 0.655
Ce5 0.553 0.250 0.345
Ce6 0.621 0.250 0.918
Ce7 0.879 0.750 0.418
Ce8 0.947 0.750 0.845
H1 0.092 0.750 0.624
H2 0.408 0.250 0.124
H3 0.592 0.750 0.876
H4 0.908 0.250 0.376
Pt1 0.202 0.250 0.870
Pt2 0.298 0.750 0.370
Pt3 0.702 0.250 0.630
Pt4 0.798 0.750 0.130

***

DFT (PBE-GGA) results for SrCoMoRu2 after structural relaxation.

Properties
Symmetry ... No. 123
DFT formation energy ... 1.78 eV per atom

Cell lengths 4.640, 4.640, 5.466 Å; angles 90.00, 90.00, 90.00 degrees
Positions (direct):
Sr1 0.000 0.000 0.000
Co1 0.500 0.500 0.000
Mo1 0.000 0.000 0.500
Ru1 0.000 0.500 0.500
Ru2 0.500 0.000 0.500

***

DFT (PBE-GGA) results for Ac2Dy3Er8 after structural relaxation.

Properties
Symmetry ... No. 12
DFT formation energy ... 0.25 eV per atom

Cell lengths 11.489, 11.489, 5.429 Å; angles 90.02, 90.02, 39.30 degrees
Positions (direct):
Ac1 0.239 0.239 0.499
Ac2 0.761 0.761 0.501
Dy1 0.000 0.000 0.500
Dy2 0.293 0.707 0.000
Dy3 0.707 0.293 0.000
Er1 0.117 0.117 0.000
Er2 0.184 0.610 0.500
Er3 0.349 0.349 0.000
Er4 0.390 0.816 0.500
Er5 0.610 0.184 0.500
Er6 0.651 0.651 0.000
Er7 0.816 0.390 0.500
Er8 0.883 0.883 0.000

***

DFT (PBE-GGA) results for Cs2NaI6Br after structural relaxation.

Properties
Formation energy (no corrections) ... -673 meV per atom
Symmetry ... No. 139

Cell lengths 8.740, 8.740, 8.740 Å; angles 118.33, 118.33, 92.91 degrees
Positions (direct):
Cs1 0.250 0.750 0.500
Cs2 0.750 0.250 0.500
Na1 0.000 0.000 0.000
I1 0.241 0.241 0.481
I2 0.241 0.759 0.000
I3 0.270 0.270 0.000
I4 0.730 0.730 0.000
I5 0.759 0.241 0.000
I6 0.759 0.759 0.519
Br1 0.500 0.500 0.000

***

DFT (PBE-GGA) results for Tl2H2Br2O after structural relaxation.

Properties
Symmetry ... No. 2
Energy ... -3.565 eV per atom

Cell lengths 4.414, 6.354, 6.361 Å; angles 79.84, 75.76, 75.77 degrees
Positions (direct):
Tl1 0.001 0.262 0.237
Tl2 0.999 0.738 0.763
H1 0.493 0.899 0.400
H2 0.507 0.101 0.600
Br1 0.353 0.709 0.211
Br2 0.647 0.291 0.789
O1 0.500 0.000 0.500

***

DFT (PBE-GGA) results for Li9TlHg2 after structural relaxation.

Properties
Symmetry ... No. 123
DFT formation energy ... -0.24 eV per atom

Cell lengths 4.189, 4.189, 12.402 Å; angles 90.00, 90.00, 90.00 degrees
Positions (direct):
Li1 0.000 0.000 0.000
Li2 0.000 0.000 0.337
Li3 0.000 0.000 0.663
Li4 0.000 0.500 0.173
Li5 0.000 0.500 0.500
Li6 0.000 0.500 0.827
Li7 0.500 0.000 0.173
Li8 0.500 0.000 0.500
Li9 0.500 0.000 0.827
Tl1 0.500 0.500 0.000
Hg1 0.500 0.500 0.336
Hg2 0.500 0.500 0.664

***

DFT (PBE-GGA) results for KGaRe3 after structural relaxation.

Properties
ΔE to the lowest computed polymorph ... 147.6 kJ/mol of atoms
Symmetry ... No. 221
DFT formation energy ... 3.81 eV per atom

Cell lengths 4.561, 4.561, 4.561 Å; angles 90.00, 90.00, 90.00 degrees
Positions (direct):
K1 0.000 0.000 0.000
Ga1 0.500 0.500 0.500
Re1 0.000 0.000 0.500
Re2 0.000 0.500 0.000
Re3 0.500 0.000 0.000

***

DFT (PBE-GGA) results for Li3OsO4 after structural relaxation.

Properties
ΔE to the lowest computed polymorph ... 5.2 kJ/mol of atoms
Formation energy (no corrections) ... -1536 meV per atom
Symmetry ... No. 59

Cell lengths 4.041, 7.045, 6.014 Å; angles 90.00, 90.00, 90.00 degrees
Positions (direct):
Li1 0.250 0.009 0.165
Li2 0.250 0.491 0.165
Li3 0.250 0.750 0.678
Li4 0.750 0.250 0.322
Li5 0.750 0.509 0.835
Li6 0.750 0.991 0.835
Os1 0.250 0.250 0.665
Os2 0.750 0.750 0.335
O1 0.250 0.022 0.823
O2 0.250 0.250 0.353
O3 0.250 0.478 0.823
O4 0.250 0.750 0.333
O5 0.750 0.250 0.667
O6 0.750 0.522 0.177
O7 0.750 0.750 0.647
O8 0.750 0.978 0.177

***

Taking the records one at a time from the top gives D(E_F) values of 40.144; 11.069; 22.049; 9.048; 0.000; 1.980; 6.273; 5.455 states/eV per cell.